The following is a PBE calculation of an optimized crystal structure of Ac2DyZnO6, from the Alexandria database.

a = 5.889 Å, b = 6.023 Å, c = 8.407 Å
α = 90.00°, β = 90.78°, γ = 90.00°
Fractional coordinates of all 20 atoms:
Ac: 0.013 0.953 0.249
Ac: 0.513 0.547 0.749
Ac: 0.987 0.047 0.751
Ac: 0.487 0.453 0.251
Dy: 0.500 0.000 0.000
Dy: 0.000 0.500 0.500
Zn: 0.500 0.000 0.500
Zn: 0.000 0.500 0.000
O: 0.286 0.701 0.052
O: 0.786 0.799 0.552
O: 0.714 0.299 0.948
O: 0.214 0.201 0.448
O: 0.301 0.711 0.448
O: 0.801 0.789 0.948
O: 0.699 0.289 0.552
O: 0.199 0.211 0.052
O: 0.903 0.533 0.243
O: 0.403 0.967 0.743
O: 0.097 0.467 0.757
O: 0.597 0.033 0.257

## Properties
The calculation puts the calculated density at 8.66 Mg/m³. As for the raw formation energy: -2647 kJ/mol of formula units.

***

The following is a PBE calculation of an optimized crystal structure of ZrReWAu2, from the Alexandria database.

a = 4.984 Å, b = 4.699 Å, c = 4.984 Å
α = 90.00°, β = 90.00°, γ = 90.00°
Fractional coordinates of all 5 atoms:
Re: 0.000 0.500 0.000
Au: 0.000 0.000 0.500
Au: 0.500 0.000 0.000
Zr: 0.500 0.500 0.500
W: 0.000 0.000 0.000

## Properties
The calculation puts the calculated density at 12.17 Mg/m³. The energy of formation comes out at 1.36 eV/atom.

***

The following is a PBE calculation of an optimized crystal structure of Cd2Sn2Pd, from the Alexandria database.

a = 7.230 Å, b = 7.230 Å, c = 4.526 Å
α = 90.00°, β = 90.00°, γ = 90.00°
Fractional coordinates of all 10 atoms:
Sn: 0.170 0.670 0.500
Sn: 0.670 0.830 0.500
Sn: 0.830 0.330 0.500
Sn: 0.330 0.170 0.500
Pd: 0.000 0.000 0.000
Pd: 0.500 0.500 0.000
Cd: 0.357 0.857 0.000
Cd: 0.857 0.643 0.000
Cd: 0.643 0.143 0.000
Cd: 0.143 0.357 0.000

## Properties
The calculation puts the calculated density at 7.98 Mg/m³. The energy of formation comes out at 0.05 eV/atom. Its excess energy over the best structure of this formula in the dataset is 0.51 eV/f.u.

***

The following is a PBE calculation of an optimized crystal structure of LiPbW2, from the Alexandria database.

a = 9.974 Å, b = 9.974 Å, c = 9.974 Å
α = 17.03°, β = 17.03°, γ = 17.03°
Fractional coordinates of all 4 atoms:
Li: 0.750 0.750 0.750
Pb: 0.250 0.250 0.250
W: 0.001 0.001 0.001
W: 0.499 0.499 0.499

## Properties
The calculation puts the calculated density at 13.01 Mg/m³. The energy of formation comes out at 1.07 eV/atom.

***

The following is a PBE calculation of an optimized crystal structure of CaCe2Pt2, from the Alexandria database.

a = 3.885 Å, b = 8.022 Å, c = 8.022 Å
α = 90.00°, β = 90.00°, γ = 90.00°
Fractional coordinates of all 10 atoms:
Ca: 0.500 0.500 0.000
Ca: 0.500 0.000 0.500
Ce: 0.000 0.659 0.341
Ce: 0.000 0.841 0.841
Ce: 0.000 0.159 0.159
Ce: 0.000 0.341 0.659
Pt: 0.500 0.361 0.361
Pt: 0.500 0.861 0.139
Pt: 0.500 0.139 0.861
Pt: 0.500 0.639 0.639

## Properties
The calculation puts the calculated density at 9.44 Mg/m³. The energy of formation comes out at -0.87 eV/atom. Its excess energy over the best structure of this formula in the dataset is 0.00 eV/f.u.

***

The following is a PBE calculation of an optimized crystal structure of Nd2Ge3Au, from the Alexandria database.

a = 6.068 Å, b = 6.068 Å, c = 8.594 Å
α = 110.32°, β = 110.32°, γ = 90.93°
Fractional coordinates of all 12 atoms:
Nd: 0.250 0.750 0.500
Nd: 0.757 0.757 0.000
Nd: 0.750 0.250 0.500
Nd: 0.243 0.243 0.000
Ge: 0.333 0.832 0.166
Ge: 0.168 0.667 0.834
Ge: 0.667 0.168 0.834
Ge: 0.832 0.333 0.166
Ge: 0.165 0.165 0.330
Ge: 0.835 0.835 0.670
Au: 0.667 0.667 0.334
Au: 0.333 0.333 0.666

## Properties
The calculation puts the calculated density at 8.50 Mg/m³. The energy of formation comes out at -0.74 eV/atom.

***

The following is a PBE calculation of an optimized crystal structure of Pm2PrTm9, from the Alexandria database.

a = 3.506 Å, b = 11.169 Å, c = 11.169 Å
α = 120.00°, β = 90.00°, γ = 90.00°
Fractional coordinates of all 12 atoms:
Pm: 0.000 0.333 0.667
Pm: 0.000 0.667 0.333
Pr: 0.000 0.000 0.000
Tm: 0.000 0.000 0.500
Tm: 0.000 0.500 0.500
Tm: 0.000 0.500 0.000
Tm: 0.500 0.354 0.177
Tm: 0.500 0.177 0.823
Tm: 0.500 0.177 0.354
Tm: 0.500 0.823 0.646
Tm: 0.500 0.823 0.177
Tm: 0.500 0.646 0.823

## Properties
The calculation puts the calculated density at 8.55 Mg/m³. The energy of formation comes out at 0.06 eV/atom. Its excess energy over the best structure of this formula in the dataset is 0.00 eV/f.u.

***

The following is a PBE calculation of an optimized crystal structure of Dy6PdAu5, from the Alexandria database.

a = 5.045 Å, b = 8.772 Å, c = 8.772 Å
α = 119.72°, β = 106.69°, γ = 106.69°
Fractional coordinates of all 12 atoms:
Au: 0.500 0.167 0.833
Au: 0.000 0.333 0.667
Au: 0.500 0.500 0.500
Au: 0.000 0.667 0.333
Au: 0.500 0.833 0.167
Pd: 0.000 0.000 0.000
Dy: 0.248 0.083 0.413
Dy: 0.752 0.587 0.917
Dy: 0.747 0.247 0.247
Dy: 0.253 0.753 0.753
Dy: 0.248 0.413 0.083
Dy: 0.752 0.917 0.587

## Properties
The calculation puts the calculated density at 12.41 Mg/m³. The energy of formation comes out at -0.86 eV/atom.

***

The following is a PBE calculation of an optimized crystal structure of K2SrH, from the Alexandria database.

a = 4.128 Å, b = 4.128 Å, c = 11.674 Å
α = 79.82°, β = 79.82°, γ = 60.00°
Fractional coordinates of all 4 atoms:
Sr: 0.000 0.000 0.000
K: 0.118 0.118 0.645
K: 0.882 0.882 0.355
H: 0.500 0.500 0.500

## Properties
The calculation puts the calculated density at 1.64 Mg/m³. Its excess energy over the best structure of this formula in the dataset is 0.00 eV/f.u.

***

The following is a PBE calculation of an optimized crystal structure of Y2SnBRu, from the Alexandria database.

a = 5.052 Å, b = 5.052 Å, c = 4.089 Å
α = 90.00°, β = 90.00°, γ = 90.00°
Fractional coordinates of all 5 atoms:
Y: 0.000 0.500 0.000
Y: 0.500 0.000 0.000
Ru: 0.000 0.000 0.500
B: 0.000 0.000 0.000
Sn: 0.500 0.500 0.500

## Properties
The calculation puts the calculated density at 6.50 Mg/m³. The energy of formation comes out at -0.46 eV/atom.

***

The following is a PBE calculation of an optimized crystal structure of MnCdIn2, from the Alexandria database.

a = 3.122 Å, b = 3.122 Å, c = 8.758 Å
α = 90.00°, β = 90.00°, γ = 89.99°
Fractional coordinates of all 4 atoms:
Cd: 0.500 0.500 0.750
In: 0.000 0.000 0.036
In: 0.000 0.000 0.464
Mn: 0.500 0.500 0.250

## Properties
The calculation puts the calculated density at 7.72 Mg/m³. The energy of formation comes out at 0.18 eV/atom.

***

The following is a PBE calculation of an optimized crystal structure of SiAgPt4, from the Alexandria database.

a = 5.294 Å, b = 5.294 Å, c = 5.294 Å
α = 60.00°, β = 60.00°, γ = 60.00°
Fractional coordinates of all 6 atoms:
Si: 0.750 0.750 0.750
Ag: 0.000 0.000 0.000
Pt: 0.875 0.375 0.375
Pt: 0.375 0.375 0.875
Pt: 0.375 0.875 0.375
Pt: 0.375 0.375 0.375

## Properties
The calculation puts the calculated density at 14.50 Mg/m³. As for the raw formation energy: 93 kJ/mol of formula units. Its excess energy over the best structure of this formula in the dataset is 2.55 eV/f.u.